[1]
Crystalline Ac2MgZn3Pd4 at its relaxed geometry, computed with PBE.

Properties
**Space-group type**: P-4m2
**Raw total energy**: -40.87 eV per cell

Geometry as POSCAR:
```
Ac2MgZn3Pd4
1.0
-2.229 -0.405 -3.871
-2.299 -3.463 1.686
-7.398 6.647 3.563
Ac Pd Mg Zn
2 4 1 3
Cartesian
-6.820 3.364 3.574
-2.842 1.350 -1.104
0.000 0.000 0.000
-2.264 -1.934 -1.093
-5.827 4.031 0.334
-3.835 0.682 2.136
-5.963 1.390 0.689
-7.626 5.648 1.201
-3.699 3.323 1.782
-2.036 -0.935 1.270
```

***

[2]
Crystalline Ac3Mg2ZnPd9 at its relaxed geometry, computed with PBE.

Properties
**Space-group type**: P-3m1
**Raw total energy**: -70.29 eV per cell

Geometry as POSCAR:
```
Ac3Mg2ZnPd9
1.0
-3.122 -6.618 0.470
3.558 1.950 -6.108
6.062 -2.670 2.679
Pd Ac Mg Zn
9 3 2 1
Cartesian
-1.561 -3.309 0.235
2.676 -1.336 -1.042
2.021 -6.988 1.174
4.477 -0.350 -4.133
2.896 -3.699 -3.895
1.779 0.975 -3.054
0.218 -2.334 -2.819
3.601 -3.639 0.936
3.822 -6.002 -1.917
0.000 0.000 0.000
5.368 -2.684 -2.131
1.129 -4.654 -0.828
4.139 -5.979 0.502
2.359 -1.359 -3.461
3.031 -1.335 1.340
```

***

[3]
Crystalline Ac3MgZn2Pd6 at its relaxed geometry, computed with PBE.

Properties
**Space-group type**: P-3m1
**Raw total energy**: -55.21 eV per cell

Geometry as POSCAR:
```
Ac3MgZn2Pd6
1.0
-4.823 -0.441 3.418
1.531 -4.487 -3.558
5.011 -3.536 6.615
Pd Ac Mg Zn
6 3 1 2
Cartesian
1.831 -4.775 -0.491
-0.477 -4.986 1.145
-0.112 -3.689 6.966
2.196 -3.478 5.331
0.620 -5.836 5.264
1.099 -2.628 1.212
2.602 -5.389 2.978
0.000 0.000 0.000
-0.883 -3.075 3.498
2.506 -1.768 3.308
2.082 -5.167 7.412
-0.363 -3.297 -0.937
```

***

[4]
Crystalline AcMgZnPd2 at its relaxed geometry, computed with PBE.

Properties
**Space-group type**: I-4m2
**Raw total energy**: -20.76 eV per cell

Geometry as POSCAR:
```
AcMgZnPd2
1.0
-4.043 -0.949 0.351
0.140 -1.956 -3.677
3.443 -3.840 4.535
Mg Pd Ac Zn
1 2 1 1
Cartesian
-1.275 -3.121 1.611
1.154 -4.093 2.221
-1.613 -2.652 -1.012
0.000 0.000 0.000
0.816 -3.624 -0.402
```

***

[5]
Crystalline AcMg2ZnPd4 at its relaxed geometry, computed with PBE.

Properties
**Space-group type**: R-3m
**Raw total energy**: -34.66 eV per cell

Geometry as POSCAR:
```
AcMg2ZnPd4
1.0
4.439 0.000 0.000
2.219 3.844 0.000
2.219 1.281 9.042
Ac Pd Mg Zn
1 4 2 1
Cartesian
0.000 0.000 0.000
4.439 2.563 7.125
4.439 2.563 1.917
2.219 1.281 5.462
6.658 3.844 3.580
2.219 1.281 2.746
6.658 3.844 6.296
4.439 2.563 4.521
```

***

[6]
Crystalline Ac2Mg3Zn12Pd at its relaxed geometry, computed with PBE.

Properties
**Space-group type**: R-3m
**Raw total energy**: -34.94 eV per cell

Geometry as POSCAR:
```
Ac2Mg3Zn12Pd
1.0
10.927 2.694 1.911
7.739 8.171 1.911
7.739 4.505 7.080
Zn Mg Ac Pd
12 3 2 1
Cartesian
19.876 9.532 8.920
8.302 2.795 1.982
6.530 3.801 4.855
10.827 7.811 5.540
12.139 7.066 3.413
18.104 12.576 8.920
14.267 9.813 5.362
6.530 5.839 1.982
15.579 7.560 5.362
19.876 11.569 6.047
12.139 5.557 5.540
14.267 8.305 7.489
5.464 1.347 0.956
3.870 2.252 3.540
3.870 4.086 0.956
9.315 5.422 3.846
17.091 9.948 7.056
0.000 0.000 0.000
```

***

[7]
Crystalline AcMg2Zn2Pd at its relaxed geometry, computed with PBE.

Properties
**Space-group type**: I4/mmm
**Raw total energy**: -15.41 eV per cell

Geometry as POSCAR:
```
AcMg2Zn2Pd
1.0
5.037 0.000 0.000
0.000 5.037 0.000
-2.519 -2.519 5.830
Zn Pd Mg Ac
2 1 2 1
Cartesian
0.000 0.000 2.444
2.519 2.519 3.386
0.000 0.000 0.000
0.000 2.519 2.915
2.519 0.000 2.915
2.519 2.519 0.000
```

***

[8]
Crystalline Ac2MgZnPd4 at its relaxed geometry, computed with PBE.

Properties
**Space-group type**: Fddd
**Raw total energy**: -74.20 eV per cell

Geometry as POSCAR:
```
Ac2MgZnPd4
1.0
-4.605 -3.401 -0.702
0.389 -6.169 3.639
-6.562 2.501 7.229
Pd Zn Mg Ac
8 2 2 4
Cartesian
-3.185 -1.076 3.274
-6.280 -0.133 7.164
-6.821 -1.751 4.972
-3.355 -3.309 1.633
-2.027 -5.111 3.378
-4.124 -5.443 5.168
-7.424 -5.870 6.917
-9.893 -5.585 8.156
-6.540 -4.385 4.907
0.000 0.000 0.000
-4.237 -2.684 5.258
-2.303 -1.701 -0.351
-8.034 -2.911 7.566
-6.099 -1.927 1.957
-5.046 -5.859 2.248
-5.068 1.027 4.570
```

***

[9]
Crystalline AcPm4Mg5 at its relaxed geometry, computed with PBE.

Properties
**Space-group type**: P4/mmm
**Raw total energy**: -32.06 eV per cell

Geometry as POSCAR:
```
AcPm4Mg5
1.0
3.911 0.000 0.000
0.000 3.911 0.000
0.000 0.000 19.634
Mg Ac Pm
5 1 4
Cartesian
1.955 1.955 13.637
1.955 1.955 17.397
1.955 1.955 9.817
1.955 1.955 5.997
1.955 1.955 2.237
0.000 0.000 0.000
0.000 0.000 4.104
0.000 0.000 11.720
0.000 0.000 7.914
0.000 0.000 15.530
```

***

[10]
Crystalline AcPmMg at its relaxed geometry, computed with PBE.

Properties
**Space-group type**: Pnma
**Raw total energy**: -39.70 eV per cell
**Distance to the lowest polymorph of the same formula**: 0.64 eV per formula unit

Geometry as POSCAR:
```
AcPmMg
1.0
-0.937 2.232 -2.768
-8.343 -5.117 -1.301
-5.687 7.289 7.803
Ac Mg Pm
4 4 4
Cartesian
-12.263 1.408 1.625
-6.018 -0.150 -1.746
-2.705 2.994 2.109
-8.950 4.552 5.480
-5.959 3.766 3.833
-12.038 4.167 3.773
-9.009 0.637 -0.099
-2.930 0.236 -0.039
-8.887 3.294 2.002
-9.198 -2.286 -2.392
-5.770 6.688 6.126
-6.081 1.109 1.732
```

***

[11]
Crystalline Ac2PmMg3 at its relaxed geometry, computed with PBE.

Properties
**Space-group type**: P4/mmm
**Raw total energy**: -18.25 eV per cell

Geometry as POSCAR:
```
Ac2PmMg3
1.0
4.033 0.000 0.000
0.000 4.033 0.000
0.000 0.000 12.114
Mg Ac Pm
3 2 1
Cartesian
0.000 0.000 4.276
0.000 0.000 0.000
0.000 0.000 7.838
2.016 2.016 2.120
2.016 2.016 9.994
2.016 2.016 6.057
```

***

[12]
Crystalline AcPm7Mg4 at its relaxed geometry, computed with PBE.

Properties
**Space-group type**: C2/m
**Raw total energy**: -41.33 eV per cell

Geometry as POSCAR:
```
AcPm7Mg4
1.0
6.009 0.000 0.000
3.004 9.638 -0.020
3.004 0.234 6.888
Pm Mg Ac
7 4 1
Cartesian
3.004 1.288 3.009
3.004 0.000 0.000
6.009 3.816 1.787
3.004 6.037 1.812
9.013 3.834 5.055
6.009 6.055 5.080
9.013 8.584 3.858
6.009 2.242 4.459
9.013 6.655 6.607
6.009 7.630 2.409
3.004 3.216 0.260
0.000 0.000 0.000
```

***

| no. | ΔE_f (eV/atom) |
| --- | --- |
| 1 | -0.65 |
| 2 | -0.45 |
| 3 | -0.63 |
| 4 | -0.68 |
| 5 | -0.66 |
| 6 | -0.08 |
| 7 | -0.06 |
| 8 | -0.66 |
| 9 | -0.10 |
| 10 | 0.18 |
| 11 | -0.08 |
| 12 | 0.20 |